Entry from the Alexandria database: a relaxed KTl2In crystal (GGA-PBE).

a b c (Å): 4.259 5.585 11.047
angles (deg): 90.00 90.00 90.00
Element x y z (fractional)
K (0.000, 0.000, 0.000)
K (0.500, 0.500, 0.500)
Tl (0.000, 0.000, 0.511)
Tl (0.000, 0.500, 0.769)
Tl (0.500, 0.000, 0.269)
Tl (0.500, 0.500, 0.011)
In (0.000, 0.500, 0.234)
In (0.500, 0.000, 0.734)

Summary:
SG: Imm2 (44)
Crystal system: orthorhombic

Entry from the Alexandria database: a relaxed SmBeRu crystal (GGA-PBE).

a b c (Å): 3.984 3.984 3.981
angles (deg): 90.00 90.00 120.00
Element x y z (fractional)
Sm (0.000, 0.000, 0.000)
Be (0.333, 0.667, 0.500)
Ru (0.667, 0.333, 0.500)

Summary:
SG: P-6m2 (187)
Crystal system: hexagonal

Number 1: ΔE_f -0.07 eV/f.u.. Number 2: ΔE_f -0.59 eV/f.u..